Crystalline Tb3HoEr2Se6 at its relaxed geometry, computed with PBE.

* size of the total moment: 0.0 Bohr magnetons per cell
* E: -5.78 eV/atom
* formation energy without anion corrections: -20.9 eV per formula unit

Cell: 7.041 7.041 7.077 Å, 99.51 99.51 120.35°
Fractional coordinates of all 12 atoms:
Tb (0.000, 0.000, 0.000)
Tb (0.334, 0.666, 0.000)
Tb (0.666, 0.334, 0.000)
Ho (0.500, 0.500, 0.500)
Er (0.166, 0.834, 0.500)
Er (0.834, 0.166, 0.500)
Se (0.084, 0.418, 0.255)
Se (0.247, 0.247, 0.745)
Se (0.418, 0.084, 0.255)
Se (0.582, 0.916, 0.745)
Se (0.753, 0.753, 0.255)
Se (0.916, 0.582, 0.745)